(1)
The following is a DFT calculation (PBE-GGA) of crystalline NaVGe at its relaxed geometry.

The structure in CIF format:
```
data_NaVGe
_chemical_formula_sum 'Na2 V2 Ge2'
_cell_length_a 4.130
_cell_length_b 4.130
_cell_length_c 7.104
_cell_angle_alpha 90.00
_cell_angle_beta 90.00
_cell_angle_gamma 90.00
_space_group_name_H-M_alt 'P 1'
_space_group_IT_number 1
_space_group_name_Hall 'P 1'
loop_
_atom_site_label
_atom_site_fract_x
_atom_site_fract_y
_atom_site_fract_z
Na1 0.000 0.500 0.857
Na2 0.500 0.000 0.143
Ge1 0.000 0.500 0.300
Ge2 0.500 0.000 0.700
V1 0.000 0.000 0.500
V2 0.500 0.500 0.500
```



(2)
The following is a DFT calculation (PBE-GGA) of crystalline NaGe2W at its relaxed geometry.

- Energy above the lowest structure with this stoichiometry: 2.267 kcal/mol of atoms

The structure in CIF format:
```
data_NaGe2W
_chemical_formula_sum 'Na2 Ge4 W2'
_cell_length_a 5.564
_cell_length_b 5.564
_cell_length_c 8.800
_cell_angle_alpha 71.57
_cell_angle_beta 71.57
_cell_angle_gamma 90.00
_space_group_name_H-M_alt 'P 1'
_space_group_IT_number 1
_space_group_name_Hall 'P 1'
loop_
_atom_site_label
_atom_site_fract_x
_atom_site_fract_y
_atom_site_fract_z
Na1 0.500 0.500 0.000
Na2 0.250 0.750 0.500
Ge1 0.825 0.125 0.250
Ge2 0.925 0.625 0.250
Ge3 0.375 0.175 0.750
Ge4 0.875 0.075 0.750
W1 0.000 0.000 0.000
W2 0.750 0.250 0.500
```



(3)
The following is a DFT calculation (PBE-GGA) of crystalline Na3GeW at its relaxed geometry.

- Energy above the lowest structure with this stoichiometry: 0.000 kcal/mol of atoms

The structure in CIF format:
```
data_Na3GeW
_chemical_formula_sum 'Na3 Ge1 W1'
_cell_length_a 5.468
_cell_length_b 5.468
_cell_length_c 5.468
_cell_angle_alpha 90.00
_cell_angle_beta 90.00
_cell_angle_gamma 90.00
_space_group_name_H-M_alt 'P 1'
_space_group_IT_number 1
_space_group_name_Hall 'P 1'
loop_
_atom_site_label
_atom_site_fract_x
_atom_site_fract_y
_atom_site_fract_z
Na1 0.000 0.500 0.000
Na2 0.000 0.000 0.500
Na3 0.500 0.000 0.000
Ge1 0.000 0.000 0.000
W1 0.500 0.500 0.500
```



(4)
The following is a DFT calculation (PBE-GGA) of crystalline Na3GeW at its relaxed geometry.

- Energy above the lowest structure with this stoichiometry: 5.709 kcal/mol of atoms

The structure in CIF format:
```
data_Na3GeW
_chemical_formula_sum 'Na3 Ge1 W1'
_cell_length_a 5.755
_cell_length_b 5.755
_cell_length_c 5.755
_cell_angle_alpha 90.00
_cell_angle_beta 90.00
_cell_angle_gamma 90.00
_space_group_name_H-M_alt 'P 1'
_space_group_IT_number 1
_space_group_name_Hall 'P 1'
loop_
_atom_site_label
_atom_site_fract_x
_atom_site_fract_y
_atom_site_fract_z
Na1 0.000 0.500 0.000
Na2 0.000 0.000 0.500
Na3 0.500 0.000 0.000
Ge1 0.500 0.500 0.500
W1 0.000 0.000 0.000
```



(5)
The following is a DFT calculation (PBE-GGA) of crystalline NaGe2W2 at its relaxed geometry.

The structure in CIF format:
```
data_NaGe2W2
_chemical_formula_sum 'Na2 Ge4 W4'
_cell_length_a 7.861
_cell_length_b 7.861
_cell_length_c 2.895
_cell_angle_alpha 90.00
_cell_angle_beta 90.00
_cell_angle_gamma 90.00
_space_group_name_H-M_alt 'P 1'
_space_group_IT_number 1
_space_group_name_Hall 'P 1'
loop_
_atom_site_label
_atom_site_fract_x
_atom_site_fract_y
_atom_site_fract_z
Na1 0.000 0.000 0.000
Na2 0.500 0.500 0.000
Ge1 0.325 0.825 0.000
Ge2 0.825 0.675 0.000
Ge3 0.675 0.175 0.000
Ge4 0.175 0.325 0.000
W1 0.112 0.612 0.500
W2 0.612 0.888 0.500
W3 0.888 0.388 0.500
W4 0.388 0.112 0.500
```



(6)
The following is a DFT calculation (PBE-GGA) of crystalline Na2GeW at its relaxed geometry.

The structure in CIF format:
```
data_Na2GeW
_chemical_formula_sum 'Na4 Ge2 W2'
_cell_length_a 8.438
_cell_length_b 8.438
_cell_length_c 6.495
_cell_angle_alpha 49.49
_cell_angle_beta 49.49
_cell_angle_gamma 90.00
_space_group_name_H-M_alt 'P 1'
_space_group_IT_number 1
_space_group_name_Hall 'P 1'
loop_
_atom_site_label
_atom_site_fract_x
_atom_site_fract_y
_atom_site_fract_z
Na1 0.595 0.125 0.250
Na2 0.155 0.625 0.250
Na3 0.375 0.405 0.750
Na4 0.875 0.845 0.750
Ge1 0.500 0.500 0.000
Ge2 0.250 0.750 0.500
W1 0.000 0.000 0.000
W2 0.750 0.250 0.500
```



Values for V, Å³/atom, ordered as above
20.19, 30.46, 32.70, 38.13, 17.89, 22.83
Values for DFT formation energy, eV per atom, ordered as above
0.021, 0.655, 1.465, 1.713, 0.396, 1.099